No. 1
Computed, not measured: DyY6Er3Tm2 after structural relaxation at the PBE-GGA level of DFT.

extended XYZ file:
```
12
Lattice="3.0656 -5.3028 0.0000 3.0656 5.3028 0.0000 -2.0365 0.0000 11.5576" Properties=species:S:1:pos:R:3 pbc="T T T"
Dy 0.0000 0.0000 0.0000
Y 1.0255 1.7690 2.8889
Y 0.0061 0.0000 8.6697
Y 1.0255 -1.7690 2.8889
Y 3.0693 1.7690 8.6687
Y 4.0886 0.0000 2.8878
Y 3.0693 -1.7690 8.6687
Er 2.0474 3.5349 5.7788
Er 2.0474 0.0000 5.7788
Er 2.0474 -3.5349 5.7788
Tm 3.0656 1.7676 0.0000
Tm 3.0656 -1.7676 0.0000
```

Values from the calculation:
SG = C2/m
formation energy = 0.026 eV/atom
crystal system = monoclinic


No. 2
Computed, not measured: KCrB3 after structural relaxation at the PBE-GGA level of DFT.

extended XYZ file:
```
5
Lattice="4.0891 0.0000 0.0000 0.0000 4.0891 0.0000 0.0000 0.0000 4.0891" Properties=species:S:1:pos:R:3 pbc="T T T"
K 0.0000 0.0000 0.0000
Cr 2.0445 2.0445 2.0445
B 0.0000 2.0445 2.0445
B 2.0445 0.0000 2.0445
B 2.0445 2.0445 0.0000
```

Values from the calculation:
SG = Pm-3m
formation energy = 0.982 eV/atom
crystal system = cubic


No. 3
Computed, not measured: KWAu2 after structural relaxation at the PBE-GGA level of DFT.

extended XYZ file:
```
4
Lattice="2.0258 -2.0349 0.0000 2.0258 2.0349 0.0000 0.0000 0.0000 9.9507" Properties=species:S:1:pos:R:3 pbc="T T T"
K 0.0000 0.0000 0.0000
W 2.0258 0.0000 6.9514
Au 0.0000 0.0000 4.9383
Au 2.0258 0.0000 2.7182
```

Values from the calculation:
SG = Cmm2
offset from the most stable computed form = 1.00 eV/f.u.
formation energy = 0.631 eV/atom
crystal system = orthorhombic


No. 4
Computed, not measured: Na2LiMgSe after structural relaxation at the PBE-GGA level of DFT.

extended XYZ file:
```
5
Lattice="5.5843 0.0000 0.0000 0.0000 5.5843 0.0000 0.0000 0.0000 5.1015" Properties=species:S:1:pos:R:3 pbc="T T T"
Na 0.0000 2.7922 0.0000
Na 2.7922 0.0000 0.0000
Li 0.0000 0.0000 2.5508
Mg 0.0000 0.0000 0.0000
Se 2.7922 2.7922 2.5508
```

Values from the calculation:
SG = P4/mmm
energy relative to the elements, uncorrected = 0.2511 eV per atom
crystal system = tetragonal


No. 5
Computed, not measured: CaCoP2Cl after structural relaxation at the PBE-GGA level of DFT.

extended XYZ file:
```
5
Lattice="5.3807 0.0000 0.0000 0.0000 5.3807 0.0000 0.0000 0.0000 5.0720" Properties=species:S:1:pos:R:3 pbc="T T T"
Ca 0.0000 0.0000 0.0000
Co 2.6903 2.6903 2.5360
P 0.0000 2.6903 0.0000
P 2.6903 0.0000 0.0000
Cl 0.0000 0.0000 2.5360
```

Values from the calculation:
SG = P4/mmm
offset from the most stable computed form = 7.15 eV/f.u.
energy relative to the elements, uncorrected = 0.9594 eV per atom
crystal system = tetragonal


No. 6
Computed, not measured: RbNa2YTa after structural relaxation at the PBE-GGA level of DFT.

extended XYZ file:
```
5
Lattice="6.2299 0.0000 0.0000 0.0000 6.2299 0.0000 0.0000 0.0000 5.4219" Properties=species:S:1:pos:R:3 pbc="T T T"
Rb 0.0000 0.0000 0.0000
Na 0.0000 3.1149 2.7110
Na 3.1149 0.0000 2.7110
Y 3.1149 3.1149 0.0000
Ta 3.1149 3.1149 2.7110
```

Values from the calculation:
SG = P4/mmm
formation energy = 1.100 eV/atom
crystal system = tetragonal


Number 1: final energy -65.7 eV for the cell shown, N(E_F) 17.79 states/eV/cell. Number 2: final energy -25.8 eV for the cell shown, N(E_F) 1.50 states/eV/cell. Number 3: final energy -18.1 eV for the cell shown, N(E_F) 2.40 states/eV/cell. Number 4: final energy -8.4 eV for the cell shown, N(E_F) 4.35 states/eV/cell. Number 5: final energy -17.0 eV for the cell shown, N(E_F) 4.90 states/eV/cell. Number 6: final energy -16.4 eV for the cell shown, N(E_F) 5.59 states/eV/cell.